[1]
PBE AcAuN, optimized geometry; calculated volume = 23.1 Å³/atom; formation energy (no corrections) = -0.76 eV/atom; energy = -35.993 eV per cell; SG = No. 139
1.0
3.890 0.000 0.000
0.000 3.890 0.000
-1.945 -1.945 9.146
Au Ac N
2 2 2
direct
0.070 0.070 0.140
0.930 0.930 0.860
0.674 0.674 0.348
0.326 0.326 0.652
0.808 0.808 0.615
0.192 0.192 0.385



[2]
PBE AcAuN, optimized geometry; calculated volume = 20.3 Å³/atom; formation energy (no corrections) = -0.74 eV/atom; energy = -35.879 eV per cell; SG = No. 129; DOS(E_F) = 0.27 states/eV/atom
1.0
3.822 0.000 -0.002
0.000 3.822 -0.001
0.004 0.001 8.331
Ac Au N
2 2 2
direct
0.250 0.250 0.331
0.750 0.750 0.669
0.250 0.250 0.922
0.750 0.750 0.078
0.750 0.750 0.367
0.250 0.250 0.633



> Among the records above, which one has the highest calculated volume?

number 1